Density functional theory data (PBE) for an optimized crystal structure of GdScOsPt.

```
4
Lattice="4.7627 0.0000 0.0000 2.3813 4.1246 0.0000 2.3813 1.3749 3.8887" Properties=species:S:1:pos:R:3 pbc="T T T"
Gd 0.0000 0.0000 0.0000
Pt 7.1440 4.1246 2.9165
Sc 4.7627 2.7497 1.9444
Os 2.3813 1.3749 0.9722
```

total DFT energy (no corrections) = -10.0707 eV/atom
D(E_F) = 1.65 states/eV/f.u.
M_tot = 7.0 μB per formula unit
DFT formation energy = -649.9 meV/atom

Density functional theory data (PBE) for an optimized crystal structure of LaTbLuMg.

```
4
Lattice="5.5676 0.0000 0.0000 2.7838 4.8217 0.0000 2.7838 1.6072 4.5459" Properties=species:S:1:pos:R:3 pbc="T T T"
Tb 8.3514 4.8217 3.4094
La 2.7838 1.6072 1.1365
Lu 5.5676 3.2145 2.2730
Mg 0.0000 0.0000 0.0000
```

total DFT energy (no corrections) = -3.9087 eV/atom
D(E_F) = 4.55 states/eV/f.u.
M_tot = 0.0 μB per formula unit
DFT formation energy = 9.7 meV/atom

Density functional theory data (PBE) for an optimized crystal structure of ZrBeF.

```
6
Lattice="2.5707 0.0000 0.0000 -1.2853 3.0355 0.0000 0.0000 0.0000 12.9469" Properties=species:S:1:pos:R:3 pbc="T T T"
Be 0.0000 1.3968 6.4734
Be 1.2853 0.1850 0.0000
Zr 0.0000 1.3543 10.9181
Zr 0.0000 1.3543 2.0287
F 1.2853 1.3960 7.5590
F 1.2853 1.3960 5.3878
```

total DFT energy (no corrections) = -5.6245 eV/atom
D(E_F) = 1.46 states/eV/f.u.
M_tot = 0.0 μB per formula unit
energy relative to the elements, uncorrected = -909 meV per atom

Density functional theory data (PBE) for an optimized crystal structure of ReMo3.

```
4
Lattice="-1.4811 1.8884 1.4097 -5.6819 -6.8296 3.1789 2.1752 -1.2472 1.2083" Properties=species:S:1:pos:R:3 pbc="T T T"
Mo -1.6828 -0.8642 2.1373
Mo -5.6376 -6.7764 3.1541
Mo -2.8853 -3.4681 1.6142
Re -4.5238 -4.2790 3.7268
```

total DFT energy (no corrections) = -10.9038 eV/atom
D(E_F) = 6.19 states/eV/f.u.
M_tot = 0.0 μB per formula unit
DFT formation energy = 331.6 meV/atom

Density functional theory data (PBE) for an optimized crystal structure of Rb3SI.

```
20
Lattice="-1.6372 1.0860 -4.7103 -8.0371 -3.2657 2.0405 -5.7707 18.0563 6.1687" Properties=species:S:1:pos:R:3 pbc="T T T"
S -5.7709 8.2880 -0.2307
S -7.4026 -0.8134 -1.7619
S -9.6740 7.5885 3.7295
S -8.0424 16.6900 5.2608
I -8.0426 12.3054 1.4851
I -7.4024 3.5711 2.0137
I -12.6500 12.5150 3.1348
I -2.7950 3.3615 0.3640
Rb -12.9338 14.7041 6.5031
Rb -8.9175 7.0111 0.5686
Rb -5.0490 0.0838 0.3918
Rb -12.4895 8.1367 2.0696
Rb -9.7070 10.6944 4.4571
Rb -10.3959 15.7927 3.1071
Rb -2.9554 7.7399 1.4292
Rb -6.3107 14.2743 4.1020
Rb -9.1342 1.6022 -0.6031
Rb -2.5111 1.1725 -3.0042
Rb -6.5274 8.8655 2.9303
Rb -5.7379 5.1821 -0.9582
```

total DFT energy (no corrections) = -2.8963 eV/atom
D(E_F) = 0.00 states/eV/f.u.
M_tot = 0.1 μB per formula unit
energy relative to the elements, uncorrected = -1180 meV per atom
relative energy among the computed polymorphs = 0.0 meV per atom

Density functional theory data (PBE) for an optimized crystal structure of AlOs2Pb.

```
4
Lattice="-9.1132 2.0138 2.2936 -9.4119 -0.8242 1.7616 -8.5526 0.0785 4.3834" Properties=species:S:1:pos:R:3 pbc="T T T"
Pb -6.7694 0.3170 2.1097
Al -20.3083 0.9511 6.3290
Os -13.1814 0.6173 4.1079
Os -0.3575 0.0167 0.1114
```

total DFT energy (no corrections) = -6.9584 eV/atom
D(E_F) = 1.71 states/eV/f.u.
M_tot = 0.0 μB per formula unit
DFT formation energy = 519.2 meV/atom
relative energy among the computed polymorphs = 222.1 meV per atom

Density functional theory data (PBE) for an optimized crystal structure of Pm4AlHg5.

```
10
Lattice="4.9074 0.0000 -1.6825 -0.5351 6.2181 -1.5608 0.1818 0.1982 8.5286" Properties=species:S:1:pos:R:3 pbc="T T T"
Pm 4.4981 1.2402 5.1220
Pm 1.2847 4.3506 3.7471
Pm 0.0560 5.1761 0.1634
Pm 3.2695 2.0657 1.5383
Hg 3.1414 5.3216 1.1646
Hg 0.3296 2.1310 0.9613
Hg 4.2246 4.2854 4.3241
Hg 1.4128 1.0947 4.1207
Hg 2.1862 3.1090 -1.6216
Al 2.4537 0.0000 -0.8412
```

total DFT energy (no corrections) = -2.8531 eV/atom
D(E_F) = 8.30 states/eV/f.u.
M_tot = 0.0 μB per formula unit
DFT formation energy = -427.7 meV/atom

Density functional theory data (PBE) for an optimized crystal structure of CsSi3Os.

```
5
Lattice="4.8136 0.0000 0.0000 0.0000 4.8136 0.0000 0.0000 0.0000 4.8136" Properties=species:S:1:pos:R:3 pbc="T T T"
Si 0.0000 0.0000 2.4068
Si 2.4068 0.0000 0.0000
Si 0.0000 2.4068 0.0000
Os 0.0000 0.0000 0.0000
Cs 2.4068 2.4068 2.4068
```

total DFT energy (no corrections) = -5.1731 eV/atom
D(E_F) = 5.89 states/eV/f.u.
M_tot = 0.0 μB per formula unit
energy relative to the elements, uncorrected = 497 meV per atom
relative energy among the computed polymorphs = 0.0 meV per atom